(1)
# Zr2Al

A relaxed Zr2Al crystal (PBE, the Alexandria database).

electronic total energy = -6.919 eV per atom
calculated density = 5.3 g cm⁻³
total magnetization = 0.00 μB/cell
ΔH_f (0 K) = 0.028 eV per atom

Cell lengths 5.1511, 5.1511, 5.1511 Å; angles 145.74, 120.26, 70.71 degrees
Last column: nearest neighbours and their distance in Å.
Element x y z (fractional)
1 Zr 0.1944 0.1944 0.0000  4 Al 2.98-3.04, 7 Zr 3.03-3.27
2 Zr 0.8056 0.8056 0.0000  4 Al 2.98-3.04, 7 Zr 3.03-3.27
3 Al 0.5000 0.0000 0.5000  8 Zr 2.98-3.04, 2 Al 3.03

(2)
# ZrAl4

A relaxed ZrAl4 crystal (PBE, the Alexandria database).

electronic total energy = -3.667 eV per atom
calculated density = 2.2 g cm⁻³
total magnetization = 0.47 μB/cell
ΔH_f (0 K) = 1.036 eV per atom

Cell lengths 5.2799, 5.2799, 5.2799 Å; angles 90.00, 90.00, 90.00 degrees
Last column: nearest neighbours and their distance in Å.
Element x y z (fractional)
1 Zr 0.0000 0.0000 0.0000  6 Al 2.64
2 Al 0.0000 0.0000 0.5000  2 Zr 2.64
3 Al 0.0000 0.5000 0.0000  2 Zr 2.64
4 Al 0.5000 0.0000 0.0000  2 Zr 2.64
5 Al 0.5000 0.5000 0.5000  12 Al 3.73

(3)
# ZrAl3

A relaxed ZrAl3 crystal (PBE, the Alexandria database).

electronic total energy = -5.192 eV per atom
calculated density = 4.0 g cm⁻³
total magnetization = 0.00 μB/cell
ΔH_f (0 K) = -0.248 eV per atom

Cell lengths 3.3844, 3.3844, 6.2934 Å; angles 90.00, 90.00, 90.00 degrees
Last column: nearest neighbours and their distance in Å.
Element x y z (fractional)
1 Zr 0.0000 0.0000 0.0000  10 Al 2.97-3.15
2 Al 0.0000 0.0000 0.5000  8 Al 2.77
3 Al 0.5000 0.5000 0.2787  5 Al 2.77-2.79, 4 Zr 2.97
4 Al 0.5000 0.5000 0.7213  5 Al 2.77-2.79, 4 Zr 2.97

(4)
# ZrAl3

A relaxed ZrAl3 crystal (PBE, the Alexandria database).

electronic total energy = -5.089 eV per atom
calculated density = 3.9 g cm⁻³
total magnetization = 0.00 μB/cell
ΔH_f (0 K) = -0.145 eV per atom

Cell lengths 2.9119, 2.9119, 8.5397 Å; angles 90.00, 90.00, 90.00 degrees
Last column: nearest neighbours and their distance in Å.
Element x y z (fractional)
1 Zr 0.0000 0.0000 0.0000  4 Zr 2.91, 8 Al 3.01
2 Al 0.0000 0.0000 0.5000  12 Al 2.91-2.92
3 Al 0.5000 0.5000 0.2576  8 Al 2.91-2.92, 4 Zr 3.01
4 Al 0.5000 0.5000 0.7424  8 Al 2.91-2.92, 4 Zr 3.01

(5)
# ZrAl2

A relaxed ZrAl2 crystal (PBE, the Alexandria database).

electronic total energy = -5.644 eV per atom
calculated density = 4.4 g cm⁻³
total magnetization = 0.00 μB/cell
ΔH_f (0 K) = -0.299 eV per atom

Cell lengths 5.9428, 5.9428, 5.9428 Å; angles 149.19, 149.19, 44.13 degrees
Last column: nearest neighbours and their distance in Å.
Element x y z (fractional)
1 Zr 0.0000 0.0000 0.0000  8 Al 2.96, 4 Zr 3.16
2 Al 0.3239 0.3239 0.0000  4 Al 2.76, 4 Zr 2.96
3 Al 0.6761 0.6761 0.0000  4 Al 2.76, 4 Zr 2.96

(6)
# Zr2Al

A relaxed Zr2Al crystal (PBE, the Alexandria database).

electronic total energy = -7.137 eV per atom
calculated density = 5.5 g cm⁻³
total magnetization = 0.00 μB/cell
ΔH_f (0 K) = -0.191 eV per atom

Cell lengths 5.6350, 5.6350, 7.7734 Å; angles 110.95, 110.95, 33.28 degrees
Last column: nearest neighbours and their distance in Å.
Element x y z (fractional)
1 Zr 0.0000 0.0000 0.0000  4 Al 3.11, 8 Zr 3.16-3.29
2 Zr 0.9999 0.9999 0.4994  4 Al 2.91-2.92, 6 Zr 2.99-3.23
3 Zr 0.3149 0.3149 0.1846  2 Al 2.94, 9 Zr 2.99-3.29
4 Zr 0.6847 0.6847 0.8145  2 Al 2.94, 9 Zr 2.99-3.29
5 Al 0.3370 0.3370 0.6463  2 Al 2.85, 6 Zr 2.92-3.11
6 Al 0.6636 0.6636 0.3540  2 Al 2.85, 6 Zr 2.91-3.11

(7)
# ZrAl4

A relaxed ZrAl4 crystal (PBE, the Alexandria database).

electronic total energy = -4.952 eV per atom
calculated density = 3.7 g cm⁻³
total magnetization = 0.00 μB/cell
ΔH_f (0 K) = -0.248 eV per atom

Cell lengths 5.1525, 5.1525, 5.1525 Å; angles 98.11, 98.11, 135.88 degrees
Last column: nearest neighbours and their distance in Å.
Element x y z (fractional)
1 Zr 0.0000 0.0000 0.0000  12 Al 2.91-2.96
2 Al 0.1960 0.3924 0.5884  9 Al 2.82-3.08, 3 Zr 2.91-2.96
3 Al 0.3924 0.8040 0.1965  9 Al 2.82-3.08, 3 Zr 2.91-2.96
4 Al 0.6076 0.1960 0.8035  9 Al 2.82-3.08, 3 Zr 2.91-2.96
5 Al 0.8040 0.6076 0.4116  9 Al 2.82-3.08, 3 Zr 2.91-2.96

(8)
# ZrAl2

A relaxed ZrAl2 crystal (PBE, the Alexandria database).

electronic total energy = -5.880 eV per atom
calculated density = 4.5 g cm⁻³
total magnetization = 0.00 μB/cell
ΔH_f (0 K) = -0.535 eV per atom

Cell lengths 5.2944, 5.2944, 17.5693 Å; angles 90.00, 90.00, 120.00 degrees
Last column: nearest neighbours and their distance in Å.
Element x y z (fractional)
1 Zr 0.0000 0.0000 0.0919  12 Al 3.10-3.15, 4 Zr 3.23-3.27
2 Zr 0.0000 0.0000 0.4081  12 Al 3.10-3.15, 4 Zr 3.23-3.27
3 Zr 0.0000 0.0000 0.5919  12 Al 3.10-3.15, 4 Zr 3.23-3.27
4 Zr 0.0000 0.0000 0.9081  12 Al 3.10-3.15, 4 Zr 3.23-3.27
5 Zr 0.3333 0.6667 0.1577  12 Al 3.10-3.16, 4 Zr 3.24-3.27
6 Zr 0.3333 0.6667 0.3423  12 Al 3.10-3.16, 4 Zr 3.24-3.27
7 Zr 0.6667 0.3333 0.6577  12 Al 3.10-3.16, 4 Zr 3.24-3.27
8 Zr 0.6667 0.3333 0.8423  12 Al 3.10-3.16, 4 Zr 3.24-3.27
9 Al 0.0000 0.5000 0.0000  6 Al 2.65-2.69
10 Al 0.0000 0.5000 0.5000  6 Al 2.65-2.69
11 Al 0.1624 0.3248 0.7500  6 Al 2.58-2.72
12 Al 0.1624 0.8376 0.7500  6 Al 2.58-2.72
13 Al 0.3248 0.1624 0.2500  6 Al 2.58-2.72
14 Al 0.3333 0.6667 0.6259  6 Al 2.69
15 Al 0.3333 0.6667 0.8741  6 Al 2.69
16 Al 0.5000 0.0000 0.0000  6 Al 2.65-2.69
17 Al 0.5000 0.0000 0.5000  6 Al 2.65-2.69
18 Al 0.5000 0.5000 0.0000  6 Al 2.65-2.69
19 Al 0.5000 0.5000 0.5000  6 Al 2.65-2.69
20 Al 0.6667 0.3333 0.1259  6 Al 2.69
21 Al 0.6667 0.3333 0.3741  6 Al 2.69
22 Al 0.6752 0.8376 0.7500  6 Al 2.58-2.72
23 Al 0.8376 0.1624 0.2500  6 Al 2.58-2.72
24 Al 0.8376 0.6752 0.2500  6 Al 2.58-2.72